Entry 1:
A geometry-optimized Y2ScIr structure. Source: Alexandria, functional PBEsol.

It has space group I-4m2 (No. 119), with a = 4.141 Å, b = 4.141 Å, c = 10.115 Å, α = 90.00°, β = 90.00° and γ = 90.00°. The inequivalent atoms are Y at (0.000, 0.000, 0.000), Y at (0.000, 0.500, 0.250), Sc at (0.000, 0.500, 0.750) and Ir at (0.000, 0.000, 0.500).

The total DFT energy (no corrections) comes out at -7.6923 eV per atom. The value obtained for the calculated volume is 21.68 A^3/atom. The crystal system is tetragonal. Its formation energy from the elements is -0.174 eV/atom. As for the density of states at the Fermi level: 1.346 states/eV per atom. Its total magnetic moment is 0.000 μB per atom.

Entry 2:
A geometry-optimized Y2ScIr structure. Source: Alexandria, functional PBEsol.

It has space group R3m (No. 160, hexagonal axes), with a = 3.6948 Å, b = 3.6948 Å, c = 26.9630 Å, α = 90.00°, β = 90.00° and γ = 120.00°. The inequivalent atoms are Y at (0.0000, 0.0000, 0.0000), Y at (0.0000, 0.0000, 0.2198), Sc at (0.0000, 0.0000, 0.7704) and Ir at (0.0000, 0.0000, 0.4897).

The total DFT energy (no corrections) comes out at -7.7554 eV per atom. The value obtained for the calculated volume is 26.56 A^3/atom. The crystal system is trigonal. Its formation energy from the elements is -0.237 eV/atom. As for the density of states at the Fermi level: 1.236 states/eV per atom. Its total magnetic moment is 0.000 μB per atom.